The following is a DFT calculation (PBE-GGA) of a relaxed BaLi2As crystal.

Structure (POSCAR):
```
BaLi2As
1.0
4.337 0.000 0.000
0.000 4.367 0.000
-2.125 0.000 6.372
Ba Li As
1 2 1
direct
0.000 0.000 0.000 Ba
0.295 0.000 0.580 Li
0.780 0.500 0.551 Li
0.393 0.500 0.781 As
```

Properties
**Calculated total energy**: -0.2357 Ry/atom
**Volume**: 30.17 A^3/atom
**DOS at the Fermi energy**: 1.4 states/eV/f.u.